1.
Na2InGa2Au5 after structural relaxation, computed with PBE.

Cell lengths 3.5722, 10.7273, 10.7273 Å; angles 90.00, 90.00, 90.00 degrees
Last column: nearest neighbours and their distance in Å.
Fractional positions:
Au: 0.5000 0.7993 0.9359  2 Ga 2.65, 2 In 2.88
Au: 0.5000 0.0641 0.7993  2 Ga 2.65, 2 In 2.88
Au: 0.5000 0.5641 0.7007  2 Ga 2.65, 2 In 2.88
Au: 0.5000 0.2007 0.0641  2 Ga 2.65, 2 In 2.88
In: 0.0000 0.5000 0.5000  8 Au 2.88
Na: 0.0000 0.3267 0.8267  3 Ga 3.02-3.26, 6 Au 3.18-3.35
Au: 0.5000 0.0000 0.5000  4 Ga 2.63
Au: 0.5000 0.9359 0.2007  2 Ga 2.65, 2 In 2.88
Ga: 0.0000 0.8724 0.3724  6 Au 2.63-2.65
Ga: 0.0000 0.1276 0.6276  6 Au 2.63-2.65
Ga: 0.0000 0.6276 0.8724  6 Au 2.63-2.65
Ga: 0.0000 0.3724 0.1276  6 Au 2.63-2.65
Au: 0.5000 0.5000 0.0000  4 Ga 2.63
Na: 0.0000 0.6733 0.1733  3 Ga 3.02-3.26, 6 Au 3.18-3.35
Na: 0.0000 0.8267 0.6733  3 Ga 3.02-3.26, 6 Au 3.18-3.35
Au: 0.5000 0.4359 0.2993  2 Ga 2.65, 2 In 2.88
In: 0.0000 0.0000 0.0000  8 Au 2.88
Au: 0.5000 0.7007 0.4359  2 Ga 2.65, 2 In 2.88
Na: 0.0000 0.1733 0.3267  3 Ga 3.02-3.26, 6 Au 3.18-3.35
Au: 0.5000 0.2993 0.5641  2 Ga 2.65, 2 In 2.88

Calculated density, kg/m³: 10382
E_form, eV per atom: -0.28
Fermi-level density of states, states/eV/f.u.: 2.11

***

2.
YFeTc2 after structural relaxation, computed with PBE.

Cell lengths 5.3393, 5.3393, 2.8164 Å; angles 79.38, 79.38, 118.67 degrees
Last column: nearest neighbours and their distance in Å.
Fractional positions:
Tc: 0.5000 0.5000 0.0000  4 Tc 2.72-2.82, 2 Y 2.78, 2 Fe 2.78
Fe: 0.0000 0.5000 0.5000  2 Y 2.72, 4 Tc 2.78, 2 Fe 2.82
Y: 0.5000 0.0000 0.5000  2 Fe 2.72, 4 Tc 2.78, 2 Y 2.82
Tc: 0.0000 0.0000 0.0000  4 Tc 2.72-2.82, 2 Fe 2.78, 2 Y 2.78

Energy relative to the lowest polymorph listed for this composition, meV per atom: 234
Calculated density, kg/m³: 8614
E_form, eV per atom: 0.38
Fermi-level density of states, states/eV/f.u.: 3.70

***

3.
HfTi3H6 after structural relaxation, computed with PBE.

Cell lengths 4.9991, 4.9991, 4.8570 Å; angles 59.03, 59.03, 60.00 degrees
Last column: nearest neighbours and their distance in Å.
Fractional positions:
Ti: 0.3741 0.3741 0.8776  6 H 1.91-1.94
H: 0.2705 0.9811 0.2454  3 Ti 1.89-1.94, 1 Hf 2.01
Hf: 0.8741 0.8741 0.3776  6 H 2.01-2.05
H: 0.0176 0.4634 0.7650  3 Ti 1.90-1.93, 1 Hf 2.05
H: 0.7539 0.0176 0.7650  3 Ti 1.90-1.93, 1 Hf 2.05
H: 0.9811 0.5030 0.2454  3 Ti 1.89-1.94, 1 Hf 2.01
Ti: 0.6304 0.6304 0.1089  6 H 1.89-1.93
H: 0.5030 0.2705 0.2454  3 Ti 1.89-1.94, 1 Hf 2.01
H: 0.4634 0.7539 0.7650  3 Ti 1.90-1.93, 1 Hf 2.05
Ti: 0.1318 0.1318 0.6046  6 H 1.90-1.92

Energy relative to the lowest polymorph listed for this composition, meV per atom: 0
Calculated density, kg/m³: 6445
Fermi-level density of states, states/eV/f.u.: 4.15

***

4.
VRe2Ru2 after structural relaxation, computed with PBE.

Cell lengths 7.4503, 7.4503, 2.7424 Å; angles 90.00, 90.00, 90.00 degrees
Last column: nearest neighbours and their distance in Å.
Fractional positions:
Ru: 0.3746 0.8746 0.0000  6 Re 2.55-2.62, 3 Ru 2.64-2.74
Ru: 0.6254 0.1254 0.0000  6 Re 2.55-2.62, 3 Ru 2.64-2.74
Re: 0.3291 0.1709 0.5000  6 Ru 2.55-2.62, 2 Re 2.74
V: 0.5000 0.5000 0.0000  2 V 2.74, 4 Ru 2.94
Re: 0.8291 0.3291 0.5000  6 Ru 2.55-2.62, 2 Re 2.74
Re: 0.6709 0.8291 0.5000  6 Ru 2.55-2.62, 2 Re 2.74
Ru: 0.8746 0.6254 0.0000  6 Re 2.55-2.62, 3 Ru 2.64-2.74
Ru: 0.1254 0.3746 0.0000  6 Re 2.55-2.62, 3 Ru 2.64-2.74
Re: 0.1709 0.6709 0.5000  6 Ru 2.55-2.62, 2 Re 2.74
V: 0.0000 0.0000 0.0000  2 V 2.74, 4 Ru 2.94

Energy relative to the lowest polymorph listed for this composition, meV per atom: 0
Calculated density, kg/m³: 13647
E_form, eV per atom: 0.21
Fermi-level density of states, states/eV/f.u.: 4.29

***

5.
Pa2ReAg after structural relaxation, computed with PBE.

Cell lengths 3.1848, 3.1848, 8.6438 Å; angles 90.00, 90.00, 90.00 degrees
Last column: nearest neighbours and their distance in Å.
Fractional positions:
Ag: 0.5000 0.5000 0.5000  4 Ag 3.18, 8 Pa 3.32
Pa: 0.0000 0.0000 0.2181  4 Re 2.94, 4 Pa 3.18
Pa: 0.0000 0.0000 0.7819  4 Re 2.94, 4 Pa 3.18
Re: 0.5000 0.5000 0.0000  8 Pa 2.94, 4 Re 3.18

Energy relative to the lowest polymorph listed for this composition, meV per atom: 0
Calculated density, kg/m³: 14321
E_form, eV per atom: 0.03
Fermi-level density of states, states/eV/f.u.: 7.47

***

6.
CdPb2Au after structural relaxation, computed with PBE.

Cell lengths 5.3078, 5.3078, 3.7877 Å; angles 90.00, 90.00, 104.86 degrees
Last column: nearest neighbours and their distance in Å.
Fractional positions:
Pb: 0.0000 0.0000 0.0000  2 Pb 3.24, 4 Au 3.26, 4 Cd 3.26
Au: 0.5000 0.0000 0.5000  2 Cd 3.24, 8 Pb 3.26
Cd: 0.0000 0.5000 0.5000  2 Au 3.24, 8 Pb 3.26
Pb: 0.5000 0.5000 0.0000  2 Pb 3.24, 4 Cd 3.26, 4 Au 3.26

Calculated density, kg/m³: 11653
E_form, eV per atom: 0.03
Fermi-level density of states, states/eV/f.u.: 1.09

***

7.
LaGe2Cl after structural relaxation, computed with PBE.

Cell lengths 9.4927, 9.4927, 7.2130 Å; angles 48.85, 48.85, 90.00 degrees
Last column: nearest neighbours and their distance in Å.
Fractional positions:
Cl: 0.2500 0.7500 0.5000  2 La 2.64
Cl: 0.5000 0.5000 0.0000  2 La 2.64
La: 0.0000 0.0000 0.0000  2 Cl 2.64
Ge: 0.1077 0.6250 0.2500  2 Ge 2.66
Ge: 0.8750 0.8923 0.7500  2 Ge 2.66
La: 0.7500 0.2500 0.5000  2 Cl 2.64
Ge: 0.6423 0.1250 0.2500  2 Ge 2.66
Ge: 0.3750 0.3577 0.7500  2 Ge 2.66

Energy relative to the lowest polymorph listed for this composition, meV per atom: 0
Calculated density, kg/m³: 4461
Fermi-level density of states, states/eV/f.u.: 1.20
Energy relative to the elements, uncorrected, eV/atom: -0.42

***

8.
HfBIrRh2 after structural relaxation, computed with PBE.

Cell lengths 4.1417, 4.1417, 4.1394 Å; angles 90.00, 90.00, 90.00 degrees
Last column: nearest neighbours and their distance in Å.
Fractional positions:
Rh: 0.0000 0.5000 0.0000  2 B 2.07
Hf: 0.5000 0.5000 0.5000  8 Rh 2.93, 4 Ir 2.93
Rh: 0.5000 0.0000 0.0000  2 B 2.07
B: 0.0000 0.0000 0.0000  2 Ir 2.07, 4 Rh 2.07
Ir: 0.0000 0.0000 0.5000  2 B 2.07

Calculated density, kg/m³: 13735
E_form, eV per atom: -0.74
Fermi-level density of states, states/eV/f.u.: 0.47

***

9.
CaInBi2 after structural relaxation, computed with PBE.

Cell lengths 4.3449, 4.3449, 6.6004 Å; angles 90.00, 90.00, 90.00 degrees
Last column: nearest neighbours and their distance in Å.
Fractional positions:
Bi: 0.0000 0.0000 0.2384  2 Bi 3.15-3.45, 4 Ca 3.45, 4 In 3.52
Ca: 0.5000 0.5000 0.0000  2 In 3.30, 8 Bi 3.45
Bi: 0.0000 0.0000 0.7616  2 Bi 3.15-3.45, 4 Ca 3.45, 4 In 3.52
In: 0.5000 0.5000 0.5000  2 Ca 3.30, 8 Bi 3.52

Calculated density, kg/m³: 7634
E_form, eV per atom: -0.35
Fermi-level density of states, states/eV/f.u.: 2.69

***

10.
Sc4AlZn2Rh after structural relaxation, computed with PBE.

Cell lengths 4.7082, 4.7082, 8.1382 Å; angles 73.19, 73.19, 60.00 degrees
Last column: nearest neighbours and their distance in Å.
Fractional positions:
Sc: 0.6200 0.6200 0.1399  1 Rh 2.76, 4 Zn 2.82-2.88, 3 Al 2.92
Rh: 0.5000 0.5000 0.5000  8 Sc 2.76-2.86
Sc: 0.3800 0.3800 0.8601  1 Rh 2.76, 4 Zn 2.82-2.88, 3 Al 2.92
Sc: 0.1287 0.1287 0.6139  3 Rh 2.86, 4 Zn 2.90-2.95, 1 Al 2.96
Al: 0.0000 0.0000 0.0000  8 Sc 2.92-2.96, 6 Zn 3.27
Zn: 0.7453 0.7453 0.7640  8 Sc 2.82-2.95
Sc: 0.8713 0.8713 0.3861  3 Rh 2.86, 4 Zn 2.90-2.95, 1 Al 2.96
Zn: 0.2547 0.2547 0.2360  8 Sc 2.82-2.95

Calculated density, kg/m³: 4968
E_form, eV per atom: -0.56
Fermi-level density of states, states/eV/f.u.: 5.92

***

Computed electronic total energy (eV per atom) in order:
-3.06 -8.54 -5.78 -10.30 -8.54 -2.87 -4.42 -8.78 -3.47 -5.43